A plane-wave DFT calculation with PBE was carried out for an optimized crystal structure of ZrB3Rh.

Calculated values
- Energy relative to the lowest polymorph listed for this composition: 0 meV/atom
- M_tot: 0.00 μB/atom
- E_form: 0.63 eV/atom

abc: 4.005 4.005 4.005
angles: 90.00 90.00 90.00
Element x y z (fractional)
Zr (0.000, 0.000, 0.000)
B (0.000, 0.500, 0.500)
B (0.500, 0.000, 0.500)
B (0.500, 0.500, 0.000)
Rh (0.500, 0.500, 0.500)